No. 1
{
  "formula": "Tb3Co29Si4B10",
  "functional": "PBE",
  "state": "relaxed",
  "spacegroup": "P4/nmm (129)",
  "total_magnetization_mub_per_cell": 36.9,
  "e_tot_ry_per_atom": -0.5236,
  "e_form_raw_mev_per_atom": -419,
  "cell": [[-5.3853, 1.8741, 5.3466], [1.8887, -9.6070, 5.2697], [7.8347, 4.9225, 6.1659]],
  "species": ["Tb", "Tb", "Tb", "Tb", "Tb", "Tb", "Co", "Co", "Co", "Co", "Co", "Co", "Co", "Co", "Co", "Co", "Co", "Co", "Co", "Co", "Co", "Co", "Co", "Co", "Co", "Co", "Co", "Co", "Co", "Co", "Co", "Co", "Co", "Co", "Co", "Co", "Co", "Co", "Co", "Co", "Co", "Co", "Co", "Co", "Co", "Co", "Co", "Co", "Co", "Co", "Co", "Co", "Co", "Co", "Co", "Co", "Co", "Co", "Co", "Co", "Co", "Co", "Co", "Co", "Si", "Si", "Si", "Si", "Si", "Si", "Si", "Si", "B", "B", "B", "B", "B", "B", "B", "B", "B", "B", "B", "B", "B", "B", "B", "B", "B", "B", "B", "B"],
  "frac_coords": [[0.0000, 0.2500, 0.7500], [0.0000, 0.2500, 0.2500], [0.0000, 0.7500, 0.7500], [0.0000, 0.7500, 0.2500], [0.5000, 0.0000, 0.0000], [0.5000, 0.5000, 0.5000], [0.3362, 0.3384, 0.6744], [0.5261, 0.2724, 0.0000], [0.5261, 0.5000, 0.7724], [0.5261, 0.5000, 0.2276], [0.9708, 0.8354, 0.5000], [0.9708, 0.0000, 0.6646], [0.9708, 0.0000, 0.3354], [0.9708, 0.1646, 0.5000], [0.0292, 0.6646, 0.0000], [0.0292, 0.3354, 0.0000], [0.0292, 0.5000, 0.8354], [0.0292, 0.5000, 0.1646], [0.2495, 0.8846, 0.3846], [0.2495, 0.8846, 0.6154], [0.2495, 0.1154, 0.3846], [0.2495, 0.1154, 0.6154], [0.7505, 0.6154, 0.8846], [0.7505, 0.3846, 0.1154], [0.7505, 0.3846, 0.8846], [0.7505, 0.6154, 0.1154], [0.6989, 0.8899, 0.3899], [0.6989, 0.8899, 0.6101], [0.6989, 0.1101, 0.3899], [0.6989, 0.1101, 0.6101], [0.3011, 0.6101, 0.8899], [0.3011, 0.3899, 0.1101], [0.3011, 0.3899, 0.8899], [0.3011, 0.6101, 0.1101], [0.3362, 0.3384, 0.3256], [0.3362, 0.8256, 0.1616], [0.3362, 0.1744, 0.8384], [0.3362, 0.6616, 0.6744], [0.6638, 0.1616, 0.8256], [0.6638, 0.8384, 0.1744], [0.6638, 0.3256, 0.3384], [0.8886, 0.6102, 0.5000], [0.6638, 0.1616, 0.1744], [0.6638, 0.6744, 0.3384], [0.6638, 0.3256, 0.6616], [0.6638, 0.8384, 0.8256], [0.5261, 0.7276, 0.0000], [0.8886, 0.0000, 0.8898], [0.3362, 0.1744, 0.1616], [0.3362, 0.8256, 0.8384], [0.8886, 0.0000, 0.1102], [0.8886, 0.3898, 0.5000], [0.5329, 0.5000, 0.0000], [0.4671, 0.0000, 0.5000], [0.1114, 0.1102, 0.0000], [0.4739, 0.2276, 0.5000], [0.4739, 0.0000, 0.2724], [0.4739, 0.0000, 0.7276], [0.4739, 0.7724, 0.5000], [0.1114, 0.5000, 0.6102], [0.1114, 0.5000, 0.3898], [0.1114, 0.8898, 0.0000], [0.6638, 0.6744, 0.6616], [0.3362, 0.6616, 0.3256], [0.8248, 0.5000, 0.6820], [0.1752, 0.3180, 0.5000], [0.1752, 0.0000, 0.1820], [0.1752, 0.0000, 0.8180], [0.1752, 0.6820, 0.5000], [0.8248, 0.1820, 0.0000], [0.8248, 0.8180, 0.0000], [0.8248, 0.5000, 0.3180], [0.5181, 0.6860, 0.1860], [0.5181, 0.3140, 0.8140], [0.5181, 0.3140, 0.1860], [0.5181, 0.6860, 0.8140], [0.4819, 0.1860, 0.6860], [0.4819, 0.1860, 0.3140], [0.2633, 0.5000, 0.2561], [0.2633, 0.5000, 0.7439], [0.2633, 0.2439, 0.0000], [0.2633, 0.7561, 0.0000], [0.7367, 0.2561, 0.5000], [0.7367, 0.0000, 0.2439], [0.7367, 0.0000, 0.7561], [0.7367, 0.7439, 0.5000], [0.1487, 0.5000, 0.0000], [0.8513, 0.0000, 0.5000], [0.8929, 0.5000, 0.0000], [0.1071, 0.0000, 0.5000], [0.4819, 0.8140, 0.6860], [0.4819, 0.8140, 0.3140]]
}

---

No. 2
{
  "formula": "Tb2Co5SiB2",
  "functional": "PBE",
  "state": "relaxed",
  "spacegroup": "P4/mbm (127)",
  "total_magnetization_mub_per_cell": 0.0,
  "e_tot_ry_per_atom": -0.4968,
  "e_form_raw_mev_per_atom": -403,
  "cell": [[3.0469, 0.0000, 0.0000], [0.0000, 8.9196, 0.0000], [0.0000, 0.0000, 8.9196]],
  "species": ["Tb", "Tb", "Tb", "Tb", "Co", "Co", "Co", "Co", "Co", "Co", "Co", "Co", "Co", "Co", "Si", "Si", "B", "B", "B", "B"],
  "frac_coords": [[0.0000, 0.6780, 0.1780], [0.0000, 0.3220, 0.8220], [0.0000, 0.1780, 0.3220], [0.0000, 0.8220, 0.6780], [0.5000, 0.2216, 0.0670], [0.5000, 0.7784, 0.9330], [0.5000, 0.0670, 0.7784], [0.5000, 0.7216, 0.4330], [0.5000, 0.9330, 0.2216], [0.5000, 0.2784, 0.5670], [0.5000, 0.5670, 0.7216], [0.5000, 0.4330, 0.2784], [0.5000, 0.5000, 0.0000], [0.5000, 0.0000, 0.5000], [0.0000, 0.0000, 0.0000], [0.0000, 0.5000, 0.5000], [0.0000, 0.1180, 0.6180], [0.0000, 0.8820, 0.3820], [0.0000, 0.6180, 0.8820], [0.0000, 0.3820, 0.1180]]
}

---

No. 3
{
  "formula": "Tb2Co12SiB3",
  "functional": "PBE",
  "state": "relaxed",
  "spacegroup": "R-3m (166)",
  "total_magnetization_mub_per_cell": 10.1,
  "e_tot_ry_per_atom": -0.4810,
  "e_form_raw_mev_per_atom": 121,
  "cell": [[-5.3041, -3.6200, 1.4168], [0.4505, -6.1641, -2.2462], [1.1080, -4.3772, 4.7809]],
  "species": ["Tb", "Tb", "Co", "Co", "Co", "Co", "Co", "Co", "Co", "Co", "Co", "Co", "Co", "Co", "Si", "B", "B", "B"],
  "frac_coords": [[0.5987, 0.5987, 0.5987], [0.4013, 0.4013, 0.4013], [0.2723, 0.2723, 0.8831], [0.8678, 0.8678, 0.3840], [0.3840, 0.8678, 0.8678], [0.8831, 0.2723, 0.2723], [0.8678, 0.3840, 0.8678], [0.2723, 0.8831, 0.2723], [0.7277, 0.7277, 0.1169], [0.1322, 0.1322, 0.6160], [0.6160, 0.1322, 0.1322], [0.1169, 0.7277, 0.7277], [0.1322, 0.6160, 0.1322], [0.7277, 0.1169, 0.7277], [0.0000, 0.0000, 0.0000], [0.5000, 0.0000, 0.0000], [0.0000, 0.5000, 0.0000], [0.0000, 0.0000, 0.5000]]
}

---

No. 4
{
  "formula": "Co5SiTc2B2",
  "functional": "PBE",
  "state": "relaxed",
  "spacegroup": "P4/mbm (127)",
  "total_magnetization_mub_per_cell": 6.2,
  "e_tot_ry_per_atom": -0.5712,
  "e_form_raw_mev_per_atom": -267,
  "cell": [[2.6504, 0.0000, 0.0000], [0.0000, 8.7913, 0.0000], [0.0000, 0.0000, 8.7913]],
  "species": ["Co", "Co", "Co", "Co", "Co", "Co", "Co", "Co", "Co", "Co", "Si", "Si", "Tc", "Tc", "Tc", "Tc", "B", "B", "B", "B"],
  "frac_coords": [[0.5000, 0.2105, 0.0524], [0.5000, 0.7895, 0.9476], [0.5000, 0.0524, 0.7895], [0.5000, 0.7105, 0.4476], [0.5000, 0.9476, 0.2105], [0.5000, 0.2895, 0.5524], [0.5000, 0.5524, 0.7105], [0.5000, 0.4476, 0.2895], [0.5000, 0.5000, 0.0000], [0.5000, 0.0000, 0.5000], [0.0000, 0.0000, 0.0000], [0.0000, 0.5000, 0.5000], [0.0000, 0.6838, 0.1838], [0.0000, 0.3162, 0.8162], [0.0000, 0.1838, 0.3162], [0.0000, 0.8162, 0.6838], [0.0000, 0.1275, 0.6275], [0.0000, 0.8725, 0.3725], [0.0000, 0.6275, 0.8725], [0.0000, 0.3725, 0.1275]]
}

---

No. 5
{
  "formula": "Co2SiBTe",
  "functional": "PBE",
  "state": "relaxed",
  "spacegroup": "P4/mmm (123)",
  "total_magnetization_mub_per_cell": 0.9,
  "e_tot_ry_per_atom": -0.3778,
  "e_form_raw_mev_per_atom": 751,
  "cell": [[3.9196, 0.0000, 0.0000], [0.0000, 4.8149, 0.0000], [0.0000, 0.0000, 3.9196]],
  "species": ["Si", "Te", "Co", "Co", "B"],
  "frac_coords": [[0.5000, 0.5000, 0.5000], [0.0000, 0.5000, 0.0000], [0.0000, 0.0000, 0.5000], [0.5000, 0.0000, 0.0000], [0.0000, 0.0000, 0.0000]]
}

---

No. 6
{
  "formula": "Th2Co12SiB3",
  "functional": "PBE",
  "state": "relaxed",
  "spacegroup": "R-3m (166)",
  "total_magnetization_mub_per_cell": 5.9,
  "e_tot_ry_per_atom": -0.5098,
  "e_form_raw_mev_per_atom": 39,
  "cell": [[-6.5085, -0.0943, 0.7773], [-2.8663, -4.3135, -4.0188], [-1.9883, -5.3610, 3.2062]],
  "species": ["Th", "Th", "Co", "Co", "Co", "Co", "Co", "Co", "Co", "Co", "Co", "Co", "Co", "Co", "Si", "B", "B", "B"],
  "frac_coords": [[0.6118, 0.6118, 0.6118], [0.3882, 0.3882, 0.3882], [0.2834, 0.2834, 0.8865], [0.8725, 0.8725, 0.3790], [0.3790, 0.8725, 0.8725], [0.8865, 0.2834, 0.2834], [0.8725, 0.3790, 0.8725], [0.2834, 0.8865, 0.2834], [0.7166, 0.7166, 0.1135], [0.1275, 0.1275, 0.6210], [0.6210, 0.1275, 0.1275], [0.1135, 0.7166, 0.7166], [0.1275, 0.6210, 0.1275], [0.7166, 0.1135, 0.7166], [0.0000, 0.0000, 0.0000], [0.5000, 0.0000, 0.0000], [0.0000, 0.5000, 0.0000], [0.0000, 0.0000, 0.5000]]
}

---

No. 7
{
  "formula": "ThCo3SiB",
  "functional": "PBE",
  "state": "relaxed",
  "spacegroup": "Cmcm (63)",
  "total_magnetization_mub_per_cell": 0.0,
  "e_tot_ry_per_atom": -0.5374,
  "e_form_raw_mev_per_atom": -506,
  "cell": [[-5.4261, -0.4636, 1.6486], [1.5924, -1.6203, 4.7855], [-0.7137, 6.0175, -0.6571]],
  "species": ["Th", "Th", "Co", "Co", "Co", "Co", "Co", "Co", "Si", "Si", "B", "B"],
  "frac_coords": [[0.7500, 0.2709, 0.5417], [0.2500, 0.7291, 0.4583], [0.2500, 0.1790, 0.3580], [0.0000, 0.2460, 0.0000], [0.5000, 0.7540, 0.0000], [0.5000, 0.2460, 0.0000], [0.0000, 0.7540, 0.0000], [0.7500, 0.8210, 0.6420], [0.2500, 0.3843, 0.7686], [0.7500, 0.6157, 0.2314], [0.2500, 0.9972, 0.9944], [0.7500, 0.0028, 0.0056]]
}

---

No. 8
{
  "formula": "Ti2Co5SiB2",
  "functional": "PBE",
  "state": "relaxed",
  "spacegroup": "P4/mbm (127)",
  "total_magnetization_mub_per_cell": 0.0,
  "e_tot_ry_per_atom": -0.5612,
  "e_form_raw_mev_per_atom": -626,
  "cell": [[2.9730, 0.0000, 0.0000], [0.0000, 8.3542, 0.0000], [0.0000, 0.0000, 8.3542]],
  "species": ["Ti", "Ti", "Ti", "Ti", "Co", "Co", "Co", "Co", "Co", "Co", "Co", "Co", "Co", "Co", "Si", "Si", "B", "B", "B", "B"],
  "frac_coords": [[0.0000, 0.6754, 0.1754], [0.0000, 0.3246, 0.8246], [0.0000, 0.1754, 0.3246], [0.0000, 0.8246, 0.6754], [0.5000, 0.2154, 0.0692], [0.5000, 0.7846, 0.9308], [0.5000, 0.0692, 0.7846], [0.5000, 0.7154, 0.4308], [0.5000, 0.9308, 0.2154], [0.5000, 0.2846, 0.5692], [0.5000, 0.5692, 0.7154], [0.5000, 0.4308, 0.2846], [0.5000, 0.5000, 0.0000], [0.5000, 0.0000, 0.5000], [0.0000, 0.0000, 0.0000], [0.0000, 0.5000, 0.5000], [0.0000, 0.1215, 0.6215], [0.0000, 0.8785, 0.3785], [0.0000, 0.6215, 0.8785], [0.0000, 0.3785, 0.1215]]
}

---

No. 9
{
  "formula": "TmCo3SiB",
  "functional": "PBE",
  "state": "relaxed",
  "spacegroup": "Cmcm (63)",
  "total_magnetization_mub_per_cell": 0.0,
  "e_tot_ry_per_atom": -0.4946,
  "e_form_raw_mev_per_atom": -415,
  "cell": [[-3.8554, 0.7326, -3.7316], [-0.6487, -5.2222, -0.3551], [-3.4406, 2.8116, 4.1068]],
  "species": ["Tm", "Tm", "Co", "Co", "Co", "Co", "Co", "Co", "Si", "Si", "B", "B"],
  "frac_coords": [[0.7500, 0.2634, 0.5268], [0.2500, 0.7366, 0.4732], [0.2500, 0.1684, 0.3369], [0.0000, 0.2574, 0.0000], [0.5000, 0.7426, 0.0000], [0.5000, 0.2574, 0.0000], [0.0000, 0.7426, 0.0000], [0.7500, 0.8316, 0.6631], [0.2500, 0.3701, 0.7402], [0.7500, 0.6299, 0.2598], [0.2500, 0.9866, 0.9732], [0.7500, 0.0134, 0.0268]]
}

---

No. 10
{
  "formula": "VCo2SiB",
  "functional": "PBE",
  "state": "relaxed",
  "spacegroup": "P4/mmm (123)",
  "total_magnetization_mub_per_cell": 0.4,
  "e_tot_ry_per_atom": -0.4213,
  "e_form_raw_mev_per_atom": 1354,
  "cell": [[-1.5956, 0.8124, -3.7965], [-1.6581, -3.6216, -0.0781], [-3.4672, 1.5488, 1.7886]],
  "species": ["Si", "B", "Co", "Co", "V"],
  "frac_coords": [[0.5000, 0.5000, 0.5000], [0.0000, 0.5000, 0.0000], [0.0000, 0.0000, 0.5000], [0.5000, 0.0000, 0.0000], [0.0000, 0.0000, 0.0000]]
}

---

No. 11
{
  "formula": "YCo3SiB",
  "functional": "PBE",
  "state": "relaxed",
  "spacegroup": "Cmcm (63)",
  "total_magnetization_mub_per_cell": 0.0,
  "e_tot_ry_per_atom": -0.5183,
  "e_form_raw_mev_per_atom": -404,
  "cell": [[5.4654, 0.0000, 0.0000], [0.0000, 5.3165, 0.0000], [0.0000, -2.6583, 5.4745]],
  "species": ["Y", "Y", "Co", "Co", "Co", "Co", "Co", "Co", "Si", "Si", "B", "B"],
  "frac_coords": [[0.7500, 0.2615, 0.5229], [0.2500, 0.7385, 0.4771], [0.2500, 0.1713, 0.3425], [0.0000, 0.2550, 0.0000], [0.5000, 0.7450, 0.0000], [0.5000, 0.2550, 0.0000], [0.0000, 0.7450, 0.0000], [0.7500, 0.8287, 0.6575], [0.2500, 0.3734, 0.7468], [0.7500, 0.6266, 0.2532], [0.2500, 0.9918, 0.9836], [0.7500, 0.0082, 0.0164]]
}

---

No. 12
{
  "formula": "SmCo6B4",
  "functional": "PBE",
  "state": "relaxed",
  "spacegroup": "P-6m2 (187)",
  "e_form_mev_per_atom": -239,
  "total_magnetization_mub_per_cell": 1.4,
  "e_tot_ry_per_atom": -0.5125,
  "cell": [[3.3097, 0.0000, 0.0000], [0.0000, 6.1552, 0.0000], [0.0000, -3.0776, 5.3306]],
  "species": ["Sm", "Co", "Co", "Co", "Co", "Co", "Co", "B", "B", "B", "B"],
  "frac_coords": [[0.0000, 0.0000, 0.0000], [0.0000, 0.5342, 0.0685], [0.5000, 0.5902, 0.7951], [0.0000, 0.5342, 0.4658], [0.0000, 0.9315, 0.4658], [0.5000, 0.2049, 0.7951], [0.5000, 0.2049, 0.4098], [0.5000, 0.7814, 0.5628], [0.5000, 0.4372, 0.2186], [0.5000, 0.7814, 0.2186], [0.0000, 0.3333, 0.6667]]
}

---

No. 13
{
  "formula": "SmCo4B4",
  "functional": "PBE",
  "state": "relaxed",
  "spacegroup": "P4_2/nmc (137)",
  "e_form_mev_per_atom": -455,
  "total_magnetization_mub_per_cell": 0.0,
  "e_tot_ry_per_atom": -0.5222,
  "de_polymorph_ev_per_atom": 0.032,
  "cell": [[-1.4321, -4.1185, -2.5209], [3.0694, 1.2535, -3.7915], [5.2102, -3.6541, 3.0099]],
  "species": ["Sm", "Sm", "Co", "Co", "Co", "Co", "Co", "Co", "Co", "Co", "B", "B", "B", "B", "B", "B", "B", "B"],
  "frac_coords": [[0.0000, 0.0000, 0.0000], [0.5000, 0.5000, 0.5000], [0.2542, 0.5000, 0.8656], [0.7458, 0.5000, 0.8656], [0.5000, 0.7458, 0.1344], [0.5000, 0.2542, 0.1344], [0.0000, 0.7542, 0.3656], [0.0000, 0.2458, 0.3656], [0.2458, 0.0000, 0.6344], [0.7542, 0.0000, 0.6344], [0.5000, 0.8257, 0.8393], [0.5000, 0.1743, 0.8393], [0.8257, 0.5000, 0.1607], [0.1743, 0.5000, 0.1607], [0.3257, 0.0000, 0.3393], [0.6743, 0.0000, 0.3393], [0.0000, 0.3257, 0.6607], [0.0000, 0.6743, 0.6607]]
}

---

No. 14
{
  "formula": "SmCoB2",
  "functional": "PBE",
  "state": "relaxed",
  "spacegroup": "Pnma (62)",
  "e_form_mev_per_atom": -185,
  "total_magnetization_mub_per_cell": 0.0,
  "e_tot_ry_per_atom": -0.4763,
  "de_polymorph_ev_per_atom": 0.111,
  "cell": [[3.2116, 0.0000, 0.0000], [0.0000, 5.8303, 0.0000], [0.0000, 0.0000, 10.4799]],
  "species": ["Sm", "Sm", "Sm", "Sm", "Co", "Co", "Co", "Co", "B", "B", "B", "B", "B", "B", "B", "B"],
  "frac_coords": [[0.7500, 0.7384, 0.2985], [0.7500, 0.2384, 0.2015], [0.2500, 0.2616, 0.7015], [0.2500, 0.7616, 0.7985], [0.2500, 0.0910, 0.4304], [0.7500, 0.9090, 0.5696], [0.2500, 0.5910, 0.0696], [0.7500, 0.4090, 0.9304], [0.7500, 0.7755, 0.0123], [0.2500, 0.2245, 0.9877], [0.7500, 0.2755, 0.4877], [0.2500, 0.7245, 0.5123], [0.7500, 0.0596, 0.9479], [0.2500, 0.4404, 0.4479], [0.7500, 0.5596, 0.5521], [0.2500, 0.9404, 0.0521]]
}

---

No. 15
{
  "formula": "SmCoB2",
  "functional": "PBE",
  "state": "relaxed",
  "spacegroup": "R-3m (166)",
  "e_form_mev_per_atom": -296,
  "total_magnetization_mub_per_cell": 0.0,
  "e_tot_ry_per_atom": -0.4844,
  "de_polymorph_ev_per_atom": 0.000,
  "cell": [[-3.0980, -1.2167, -0.9473], [-0.4357, -3.3900, -0.5416], [-2.3751, -2.1289, 4.1810]],
  "species": ["B", "B", "Co", "Sm"],
  "frac_coords": [[0.8109, 0.8109, 0.5672], [0.1891, 0.1891, 0.4328], [0.5000, 0.5000, 0.5000], [0.0000, 0.0000, 0.0000]]
}

---

No. 16
{
  "formula": "SmCo3B2",
  "functional": "PBE",
  "state": "relaxed",
  "spacegroup": "P6/mmm (191)",
  "e_form_mev_per_atom": -422,
  "total_magnetization_mub_per_cell": 0.0,
  "e_tot_ry_per_atom": -0.5136,
  "de_polymorph_ev_per_atom": 0.000,
  "cell": [[5.0535, 0.0000, 0.0000], [-2.5267, 4.3764, 0.0000], [0.0000, 0.0000, 3.0252]],
  "species": ["Sm", "Co", "Co", "Co", "B", "B"],
  "frac_coords": [[0.0000, 0.0000, 0.0000], [0.5000, 0.0000, 0.5000], [0.5000, 0.5000, 0.5000], [0.0000, 0.5000, 0.5000], [0.3333, 0.6667, 0.0000], [0.6667, 0.3333, 0.0000]]
}